{
  "formula": "Ca2Mg2Tl3",
  "functional": "PBE",
  "state": "relaxed",
  "space_group": "Cmmm (65)",
  "delta_e_f_ev_per_atom": -0.1862,
  "lattice_angstrom": [[2.132, -12.599, 0.000], [2.132, 12.599, 0.000], [0.000, 0.000, 3.645]],
  "species": ["Ca", "Ca", "Mg", "Mg", "Tl", "Tl", "Tl"],
  "frac_coords": [[0.075, 0.925, 0.000], [0.925, 0.075, 0.000], [0.209, 0.791, 0.000], [0.791, 0.209, 0.000], [0.342, 0.658, 0.500], [0.500, 0.500, 0.500], [0.658, 0.342, 0.500]]
}

{
  "formula": "PmScSi2Pt2",
  "functional": "PBE",
  "state": "relaxed",
  "e_form_raw_ev_per_atom": -1.1598,
  "space_group": "P-3m1 (164)",
  "lattice_angstrom": [[4.292, 0.000, 0.000], [-2.146, 3.717, 0.000], [0.000, 0.000, 7.028]],
  "species": ["Pm", "Sc", "Si", "Si", "Pt", "Pt"],
  "frac_coords": [[0.000, 0.000, 0.000], [0.000, 0.000, 0.500], [0.333, 0.667, 0.708], [0.667, 0.333, 0.292], [0.333, 0.667, 0.299], [0.667, 0.333, 0.701]]
}

{
  "formula": "FeNi7Rh2",
  "functional": "PBE",
  "state": "relaxed",
  "space_group": "P-1 (2)",
  "delta_e_f_ev_per_atom": -0.0163,
  "lattice_angstrom": [[4.421, 0.000, 0.000], [-0.757, 4.356, 0.000], [-2.172, -1.869, 6.129]],
  "species": ["Fe", "Ni", "Ni", "Ni", "Ni", "Ni", "Ni", "Ni", "Rh", "Rh"],
  "frac_coords": [[0.000, 0.000, 0.000], [0.000, 0.500, 0.500], [0.198, 0.595, 0.197], [0.397, 0.699, 0.898], [0.405, 0.208, 0.398], [0.595, 0.792, 0.602], [0.603, 0.301, 0.102], [0.802, 0.405, 0.803], [0.206, 0.103, 0.704], [0.794, 0.897, 0.296]]
}

{
  "formula": "NaCaV2",
  "functional": "PBE",
  "state": "relaxed",
  "space_group": "Fm-3m (225)",
  "polymorph_energy_ev_per_fu": 0.00,
  "delta_e_f_ev_per_atom": 1.1655,
  "lattice_angstrom": [[0.000, 3.712, 3.712], [3.712, 0.000, 3.712], [3.712, 3.712, 0.000]],
  "species": ["Na", "Ca", "V", "V"],
  "frac_coords": [[0.000, 0.000, 0.000], [0.500, 0.500, 0.500], [0.250, 0.250, 0.250], [0.750, 0.750, 0.750]]
}

{
  "formula": "PmIn2Au",
  "functional": "PBE",
  "state": "relaxed",
  "space_group": "I4/mmm (139)",
  "polymorph_energy_ev_per_fu": 0.00,
  "delta_e_f_ev_per_atom": -0.5662,
  "lattice_angstrom": [[-2.408, 2.408, 8.440], [2.408, -2.408, 8.440], [2.408, 2.408, -8.440]],
  "species": ["Pm", "Pm", "In", "In", "In", "In", "Au", "Au"],
  "frac_coords": [[0.134, 0.134, 0.000], [0.866, 0.866, 0.000], [0.000, 0.500, 0.500], [0.356, 0.356, 0.000], [0.500, 0.000, 0.500], [0.644, 0.644, 0.000], [0.250, 0.750, 0.500], [0.750, 0.250, 0.500]]
}

{
  "formula": "Th4BTe3",
  "functional": "PBE",
  "state": "relaxed",
  "e_form_raw_ev_per_atom": -0.8717,
  "space_group": "Cmmm (65)",
  "lattice_angstrom": [[4.547, -6.231, 0.000], [4.547, 6.231, 0.000], [0.000, 0.000, 4.192]],
  "species": ["Th", "Th", "Th", "Th", "B", "Te", "Te", "Te"],
  "frac_coords": [[0.201, 0.201, 0.500], [0.217, 0.783, 0.000], [0.783, 0.217, 0.000], [0.799, 0.799, 0.500], [0.000, 0.000, 0.000], [0.000, 0.500, 0.500], [0.500, 0.000, 0.500], [0.500, 0.500, 0.000]]
}

{
  "formula": "TiNbVIn",
  "functional": "PBE",
  "state": "relaxed",
  "space_group": "F-43m (216)",
  "delta_e_f_ev_per_atom": -0.0140,
  "lattice_angstrom": [[0.000, 3.270, 3.270], [3.270, 0.000, 3.270], [3.270, 3.270, 0.000]],
  "species": ["Ti", "Nb", "V", "In"],
  "frac_coords": [[0.000, 0.000, 0.000], [0.250, 0.250, 0.250], [0.500, 0.500, 0.500], [0.750, 0.750, 0.750]]
}

{
  "formula": "TmHgIrO6",
  "functional": "PBE",
  "state": "relaxed",
  "e_form_raw_ev_per_atom": -1.2403,
  "space_group": "P-31c (163)",
  "lattice_angstrom": [[5.549, 0.000, 0.000], [-2.774, 4.805, 0.000], [0.000, 0.000, 9.264]],
  "species": ["Tm", "Tm", "Hg", "Hg", "Ir", "Ir", "O", "O", "O", "O", "O", "O", "O", "O", "O", "O", "O", "O"],
  "frac_coords": [[0.333, 0.667, 0.250], [0.667, 0.333, 0.750], [0.000, 0.000, 0.000], [0.000, 0.000, 0.500], [0.333, 0.667, 0.750], [0.667, 0.333, 0.250], [0.038, 0.389, 0.633], [0.038, 0.649, 0.867], [0.351, 0.389, 0.867], [0.351, 0.962, 0.633], [0.389, 0.038, 0.133], [0.389, 0.351, 0.367], [0.611, 0.649, 0.633], [0.611, 0.962, 0.867], [0.649, 0.038, 0.367], [0.649, 0.611, 0.133], [0.962, 0.351, 0.133], [0.962, 0.611, 0.367]]
}

{
  "formula": "YZnSe2",
  "functional": "PBE",
  "state": "relaxed",
  "e_form_raw_ev_per_atom": -0.9241,
  "space_group": "I-42d (122)",
  "lattice_angstrom": [[-3.136, 3.136, 5.905], [3.136, -3.136, 5.905], [3.136, 3.136, -5.905]],
  "species": ["Y", "Y", "Zn", "Zn", "Se", "Se", "Se", "Se"],
  "frac_coords": [[0.000, 0.000, 0.000], [0.750, 0.250, 0.500], [0.250, 0.750, 0.500], [0.500, 0.500, 0.000], [0.158, 0.625, 0.033], [0.375, 0.408, 0.533], [0.592, 0.125, 0.967], [0.875, 0.842, 0.467]]
}

{
  "formula": "CePuTlGa",
  "functional": "PBE",
  "state": "relaxed",
  "space_group": "F-43m (216)",
  "polymorph_energy_ev_per_fu": 0.36,
  "delta_e_f_ev_per_atom": -0.1743,
  "lattice_angstrom": [[0.000, 3.752, 3.752], [3.752, 0.000, 3.752], [3.752, 3.752, 0.000]],
  "species": ["Ce", "Pu", "Tl", "Ga"],
  "frac_coords": [[0.000, 0.000, 0.000], [0.500, 0.500, 0.500], [0.250, 0.250, 0.250], [0.750, 0.750, 0.750]]
}

{
  "formula": "Dy2Be4PdPt3",
  "functional": "PBE",
  "state": "relaxed",
  "space_group": "P-4m2 (115)",
  "delta_e_f_ev_per_atom": -0.8582,
  "lattice_angstrom": [[4.002, 0.000, 0.000], [0.000, 4.002, 0.000], [0.000, 0.000, 9.556]],
  "species": ["Dy", "Dy", "Be", "Be", "Be", "Be", "Pd", "Pt", "Pt", "Pt"],
  "frac_coords": [[0.000, 0.500, 0.247], [0.500, 0.000, 0.753], [0.000, 0.000, 0.000], [0.000, 0.500, 0.627], [0.500, 0.000, 0.373], [0.500, 0.500, 0.000], [0.000, 0.000, 0.500], [0.000, 0.500, 0.872], [0.500, 0.000, 0.128], [0.500, 0.500, 0.500]]
}

{
  "formula": "LaCrB2",
  "functional": "PBE",
  "state": "relaxed",
  "space_group": "I4_1/amd (141)",
  "polymorph_energy_ev_per_fu": 0.00,
  "delta_e_f_ev_per_atom": 0.2262,
  "lattice_angstrom": [[-2.156, 2.156, 6.910], [2.156, -2.156, 6.910], [2.156, 2.156, -6.910]],
  "species": ["La", "La", "Cr", "Cr", "B", "B", "B", "B"],
  "frac_coords": [[0.375, 0.625, 0.750], [0.625, 0.375, 0.250], [0.125, 0.875, 0.250], [0.875, 0.125, 0.750], [0.000, 0.000, 0.000], [0.000, 0.000, 0.500], [0.000, 0.500, 0.000], [0.500, 0.000, 0.500]]
}

{
  "formula": "V5Ga2Pd12",
  "functional": "PBE",
  "state": "relaxed",
  "space_group": "C2/m (12)",
  "delta_e_f_ev_per_atom": -0.0079,
  "lattice_angstrom": [[7.193, -2.673, 0.000], [7.193, 2.673, 0.000], [-2.718, 0.000, 8.216]],
  "species": ["V", "V", "V", "V", "V", "Ga", "Ga", "Pd", "Pd", "Pd", "Pd", "Pd", "Pd", "Pd", "Pd", "Pd", "Pd", "Pd", "Pd"],
  "frac_coords": [[0.000, 0.000, 0.000], [0.333, 0.333, 0.180], [0.355, 0.355, 0.658], [0.645, 0.645, 0.342], [0.667, 0.667, 0.820], [0.253, 0.747, 0.500], [0.747, 0.253, 0.500], [0.054, 0.561, 0.402], [0.079, 0.578, 0.915], [0.083, 0.083, 0.776], [0.422, 0.921, 0.085], [0.439, 0.946, 0.598], [0.492, 0.492, 0.146], [0.508, 0.508, 0.854], [0.561, 0.054, 0.402], [0.578, 0.079, 0.915], [0.917, 0.917, 0.224], [0.921, 0.422, 0.085], [0.946, 0.439, 0.598]]
}

{
  "formula": "InAsSe",
  "functional": "PBE",
  "state": "relaxed",
  "e_form_raw_ev_per_atom": 0.2143,
  "space_group": "F-43m (216)",
  "lattice_angstrom": [[0.000, 3.395, 3.395], [3.395, 0.000, 3.395], [3.395, 3.395, 0.000]],
  "species": ["In", "As", "Se"],
  "frac_coords": [[0.000, 0.000, 0.000], [0.750, 0.750, 0.750], [0.500, 0.500, 0.500]]
}

{
  "formula": "Mg8NiAg2",
  "functional": "PBE",
  "state": "relaxed",
  "space_group": "C2/m (12)",
  "polymorph_energy_ev_per_fu": 0.00,
  "delta_e_f_ev_per_atom": -0.1105,
  "lattice_angstrom": [[7.604, -2.345, 0.000], [7.604, 2.345, 0.000], [-2.610, 0.000, 6.094]],
  "species": ["Mg", "Mg", "Mg", "Mg", "Mg", "Mg", "Mg", "Mg", "Ni", "Ag", "Ag"],
  "frac_coords": [[0.018, 0.018, 0.282], [0.185, 0.185, 0.745], [0.344, 0.344, 0.577], [0.396, 0.396, 0.080], [0.604, 0.604, 0.920], [0.656, 0.656, 0.423], [0.815, 0.815, 0.255], [0.982, 0.982, 0.718], [0.500, 0.500, 0.500], [0.182, 0.182, 0.173], [0.818, 0.818, 0.827]]
}

{
  "formula": "Tl4CuTe",
  "functional": "PBE",
  "state": "relaxed",
  "e_form_raw_ev_per_atom": 0.3553,
  "space_group": "F-43m (216)",
  "lattice_angstrom": [[0.000, 4.565, 4.565], [4.565, 0.000, 4.565], [4.565, 4.565, 0.000]],
  "species": ["Tl", "Tl", "Tl", "Tl", "Cu", "Te"],
  "frac_coords": [[0.125, 0.125, 0.125], [0.125, 0.125, 0.625], [0.125, 0.625, 0.125], [0.625, 0.125, 0.125], [0.750, 0.750, 0.750], [0.500, 0.500, 0.500]]
}

{
  "formula": "Ac2PmCo2",
  "functional": "PBE",
  "state": "relaxed",
  "space_group": "Immm (71)",
  "polymorph_energy_ev_per_fu": 0.00,
  "delta_e_f_ev_per_atom": 0.0251,
  "lattice_angstrom": [[-2.130, 2.850, 5.912], [2.130, -2.850, 5.912], [2.130, 2.850, -5.912]],
  "species": ["Ac", "Ac", "Pm", "Co", "Co"],
  "frac_coords": [[0.176, 0.176, 0.000], [0.824, 0.824, 0.000], [0.500, 0.500, 0.000], [0.358, 0.858, 0.500], [0.642, 0.142, 0.500]]
}

{
  "formula": "In12Ag3Hg5",
  "functional": "PBE",
  "state": "relaxed",
  "space_group": "Ia-3d (230)",
  "delta_e_f_ev_per_atom": 0.1358,
  "lattice_angstrom": [[-8.432, 8.432, 8.432], [8.432, -8.432, 8.432], [8.432, 8.432, -8.432]],
  "species": ["In", "In", "In", "In", "In", "In", "In", "In", "In", "In", "In", "In", "In", "In", "In", "In", "In", "In", "In", "In", "In", "In", "In", "In", "In", "In", "In", "In", "In", "In", "In", "In", "In", "In", "In", "In", "In", "In", "In", "In", "In", "In", "In", "In", "In", "In", "In", "In", "Ag", "Ag", "Ag", "Ag", "Ag", "Ag", "Ag", "Ag", "Ag", "Ag", "Ag", "Ag", "Hg", "Hg", "Hg", "Hg", "Hg", "Hg", "Hg", "Hg", "Hg", "Hg", "Hg", "Hg", "Hg", "Hg", "Hg", "Hg", "Hg", "Hg", "Hg", "Hg"],
  "frac_coords": [[0.069, 0.235, 0.138], [0.069, 0.334, 0.930], [0.070, 0.638, 0.404], [0.070, 0.931, 0.666], [0.096, 0.735, 0.666], [0.096, 0.862, 0.430], [0.138, 0.069, 0.235], [0.138, 0.570, 0.904], [0.166, 0.235, 0.596], [0.166, 0.431, 0.570], [0.235, 0.138, 0.069], [0.235, 0.596, 0.166], [0.265, 0.334, 0.904], [0.265, 0.431, 0.362], [0.334, 0.904, 0.265], [0.334, 0.930, 0.069], [0.362, 0.265, 0.431], [0.362, 0.596, 0.930], [0.404, 0.070, 0.638], [0.404, 0.834, 0.765], [0.430, 0.096, 0.862], [0.430, 0.834, 0.569], [0.431, 0.362, 0.265], [0.431, 0.570, 0.166], [0.569, 0.430, 0.834], [0.569, 0.638, 0.735], [0.570, 0.166, 0.431], [0.570, 0.904, 0.138], [0.596, 0.166, 0.235], [0.596, 0.930, 0.362], [0.638, 0.404, 0.070], [0.638, 0.735, 0.569], [0.666, 0.070, 0.931], [0.666, 0.096, 0.735], [0.735, 0.569, 0.638], [0.735, 0.666, 0.096], [0.765, 0.404, 0.834], [0.765, 0.862, 0.931], [0.834, 0.569, 0.430], [0.834, 0.765, 0.404], [0.862, 0.430, 0.096], [0.862, 0.931, 0.765], [0.904, 0.138, 0.570], [0.904, 0.265, 0.334], [0.930, 0.069, 0.334], [0.930, 0.362, 0.596], [0.931, 0.666, 0.070], [0.931, 0.765, 0.862], [0.125, 0.250, 0.375], [0.125, 0.375, 0.750], [0.250, 0.375, 0.125], [0.250, 0.875, 0.625], [0.375, 0.125, 0.250], [0.375, 0.750, 0.125], [0.625, 0.250, 0.875], [0.625, 0.875, 0.750], [0.750, 0.125, 0.375], [0.750, 0.625, 0.875], [0.875, 0.625, 0.250], [0.875, 0.750, 0.625], [0.000, 0.000, 0.000], [0.000, 0.000, 0.500], [0.000, 0.500, 0.000], [0.000, 0.500, 0.500], [0.125, 0.750, 0.875], [0.125, 0.875, 0.250], [0.250, 0.125, 0.875], [0.250, 0.625, 0.375], [0.375, 0.250, 0.625], [0.375, 0.625, 0.750], [0.500, 0.000, 0.000], [0.500, 0.000, 0.500], [0.500, 0.500, 0.000], [0.500, 0.500, 0.500], [0.625, 0.375, 0.250], [0.625, 0.750, 0.375], [0.750, 0.375, 0.625], [0.750, 0.875, 0.125], [0.875, 0.125, 0.750], [0.875, 0.250, 0.125]]
}

{
  "formula": "ZrCo2As",
  "functional": "PBE",
  "state": "relaxed",
  "space_group": "R-3m (166)",
  "delta_e_f_ev_per_atom": -0.3550,
  "lattice_angstrom": [[1.972, 1.139, 4.352], [-1.972, 1.139, 4.352], [0.000, -2.277, 4.352]],
  "species": ["Zr", "Co", "Co", "As"],
  "frac_coords": [[0.000, 0.000, 0.000], [0.212, 0.212, 0.212], [0.788, 0.788, 0.788], [0.500, 0.500, 0.500]]
}

{
  "formula": "NdEr4Cd",
  "functional": "PBE",
  "state": "relaxed",
  "space_group": "P4/mmm (123)",
  "polymorph_energy_ev_per_fu": 0.00,
  "delta_e_f_ev_per_atom": -0.0848,
  "lattice_angstrom": [[3.564, 0.000, 0.000], [0.000, 3.564, 0.000], [0.000, 0.000, 14.075]],
  "species": ["Nd", "Er", "Er", "Er", "Er", "Cd"],
  "frac_coords": [[0.000, 0.000, 0.000], [0.000, 0.000, 0.355], [0.000, 0.000, 0.645], [0.500, 0.500, 0.180], [0.500, 0.500, 0.820], [0.500, 0.500, 0.500]]
}

{
  "formula": "ScRe2AuC",
  "functional": "PBE",
  "state": "relaxed",
  "space_group": "P4/mmm (123)",
  "delta_e_f_ev_per_atom": 2.2887,
  "lattice_angstrom": [[5.125, 0.000, 0.000], [0.000, 5.125, 0.000], [0.000, 0.000, 3.748]],
  "species": ["Sc", "Re", "Re", "Au", "C"],
  "frac_coords": [[0.000, 0.000, 0.000], [0.000, 0.500, 0.500], [0.500, 0.000, 0.500], [0.500, 0.500, 0.500], [0.500, 0.500, 0.000]]
}

| no. | density of states at the Fermi level (states/eV/f.u.) | E (eV per atom) |
| --- | --- | --- |
| 1 | 4.304 | -2.228 |
| 2 | 2.999 | -6.828 |
| 3 | 11.587 | -6.380 |
| 4 | 8.345 | -4.224 |
| 5 | 1.647 | -3.942 |
| 6 | 4.707 | -6.594 |
| 7 | 2.405 | -7.469 |
| 8 | 5.354 | -6.061 |
| 9 | 4.500 | -4.601 |
| 10 | 13.108 | -6.589 |
| 11 | 5.099 | -5.601 |
| 12 | 1.969 | -6.750 |
| 13 | 16.995 | -6.006 |
| 14 | 4.097 | -3.410 |
| 15 | 5.307 | -2.314 |
| 16 | 2.817 | -2.429 |
| 17 | 2.927 | -5.411 |
| 18 | 12.980 | -2.010 |
| 19 | 3.574 | -7.207 |
| 20 | 8.695 | -4.074 |
| 21 | 6.319 | -6.457 |